VASP calculation (PBE-GGA) on a relaxed structure of Li2HfSb.

extended XYZ file:
```
16
Lattice="6.717 0.000 0.000 0.000 6.717 0.000 0.000 0.000 6.717" Properties=species:S:1:pos:R:3 pbc="T T T"
Li 0.000 0.000 0.000
Li 0.000 3.359 3.359
Li 1.679 1.679 1.679
Li 1.679 5.038 5.038
Li 3.359 0.000 3.359
Li 3.359 3.359 0.000
Li 5.038 1.679 5.038
Li 5.038 5.038 1.679
Hf 1.679 1.679 5.038
Hf 1.679 5.038 1.679
Hf 5.038 1.679 1.679
Hf 5.038 5.038 5.038
Sb 0.000 0.000 3.359
Sb 0.000 3.359 0.000
Sb 3.359 0.000 0.000
Sb 3.359 3.359 3.359
```

- uncorrected energy (eV/atom) = -4.548